# PmBe2Au6

A relaxed PmBe2Au6 crystal (GGA-PBE, Alexandria). Values from VASP.

Summary:
Its energy relative to the lowest polymorph listed for this composition is 53 meV/atom. Its symmetry is Fd-3m (227). For the formation energy from the elements, the calculation gives -167 kJ/mol of formula units.

Cell and atoms, written as Quantum ESPRESSO input:
```
&SYSTEM
  ibrav = 0, nat = 18, ntyp = 3
/
ATOMIC_SPECIES
Au 196.97 Au.upf
Be 9.01 Be.upf
Pm 145.00 Pm.upf
CELL_PARAMETERS angstrom
-1.5781 -7.2912 2.8865
4.1885 -6.3116 -2.5698
5.2259 -3.5873 4.8791
ATOMIC_POSITIONS crystal
Au 0.2274 0.2274 0.7726
Au 0.2274 0.7726 0.2274
Au 0.7726 0.2274 0.7726
Au 0.0226 0.0226 0.4774
Au 0.4774 0.0226 0.4774
Au 0.4774 0.4774 0.0226
Au 0.7726 0.7726 0.2274
Au 0.2274 0.7726 0.7726
Au 0.7726 0.2274 0.2274
Au 0.0226 0.4774 0.0226
Au 0.0226 0.4774 0.4774
Au 0.4774 0.0226 0.0226
Be 0.1250 0.1250 0.1250
Be 0.1250 0.1250 0.6250
Be 0.1250 0.6250 0.1250
Be 0.6250 0.1250 0.1250
Pm 0.7500 0.7500 0.7500
Pm 0.5000 0.5000 0.5000
```


# AlCr2S

A relaxed AlCr2S crystal (GGA-PBE, Alexandria). Values from VASP.

Summary:
As for the formation energy without anion corrections: 210 meV per atom. Its energy relative to the lowest polymorph listed for this composition is 0 meV/atom. Its symmetry is I-42d (122).

Cell and atoms, written as Quantum ESPRESSO input:
```
&SYSTEM
  ibrav = 0, nat = 8, ntyp = 3
/
ATOMIC_SPECIES
S 32.06 S.upf
Cr 52.00 Cr.upf
Al 26.98 Al.upf
CELL_PARAMETERS angstrom
-3.3433 -5.4449 1.7747
4.9775 -3.7791 -2.2174
1.9755 -4.5244 2.2296
ATOMIC_POSITIONS crystal
S 0.0000 0.0000 0.0000
S 0.7500 0.2500 0.5000
Cr 0.0633 0.6250 0.2500
Cr 0.8750 0.9367 0.7500
Cr 0.3750 0.3133 0.7500
Cr 0.6867 0.1250 0.2500
Al 0.2500 0.7500 0.5000
Al 0.5000 0.5000 0.0000
```


# YGa4Pd8

A relaxed YGa4Pd8 crystal (GGA-PBE, Alexandria). Values from VASP.

Summary:
Its symmetry is I4/mmm (139). For the formation energy from the elements, the calculation gives -830 kJ/mol of formula units.

Cell and atoms, written as Quantum ESPRESSO input:
```
&SYSTEM
  ibrav = 0, nat = 13, ntyp = 3
/
ATOMIC_SPECIES
Ga 69.72 Ga.upf
Pd 106.42 Pd.upf
Y 88.91 Y.upf
CELL_PARAMETERS angstrom
-2.6259 -4.6625 0.0957
3.4812 -5.0920 -2.9082
1.3117 -3.6959 5.5790
ATOMIC_POSITIONS crystal
Ga 0.0000 0.5000 0.0000
Ga 0.0000 0.0000 0.5000
Ga 0.5000 0.5000 0.0000
Ga 0.5000 0.0000 0.5000
Pd 0.7216 0.7784 0.7784
Pd 0.6632 0.3368 0.3368
Pd 0.5000 0.7784 0.2216
Pd 0.0000 0.6632 0.3368
Pd 0.5000 0.2216 0.7784
Pd 0.2784 0.2216 0.2216
Pd 0.3368 0.6632 0.6632
Pd 0.0000 0.3368 0.6632
Y 0.0000 0.0000 0.0000
```


# Ba2GeBr6

A relaxed Ba2GeBr6 crystal (GGA-PBE, Alexandria). Values from VASP.

Summary:
As for the formation energy without anion corrections: -1594 meV per atom. Its energy relative to the lowest polymorph listed for this composition is 57 meV/atom. Its symmetry is P4_2/mnm (136).

Cell and atoms, written as Quantum ESPRESSO input:
```
&SYSTEM
  ibrav = 0, nat = 18, ntyp = 3
/
ATOMIC_SPECIES
Br 79.90 Br.upf
Ge 72.64 Ge.upf
Ba 137.33 Ba.upf
CELL_PARAMETERS angstrom
7.2545 0.0000 0.0000
0.0000 7.2545 0.0000
0.0000 0.0000 14.2024
ATOMIC_POSITIONS crystal
Br 0.6858 0.6858 0.6485
Br 0.7811 0.2189 0.5000
Br 0.3142 0.3142 0.6485
Br 0.2189 0.7811 0.5000
Br 0.8142 0.1858 0.1485
Br 0.2811 0.2811 0.0000
Br 0.7189 0.7189 0.0000
Br 0.8142 0.1858 0.8515
Br 0.3142 0.3142 0.3515
Br 0.1858 0.8142 0.1485
Br 0.6858 0.6858 0.3515
Br 0.1858 0.8142 0.8515
Ge 0.5000 0.5000 0.5000
Ge 0.0000 0.0000 0.0000
Ba 0.5000 0.5000 0.8332
Ba 0.0000 0.0000 0.6668
Ba 0.5000 0.5000 0.1668
Ba 0.0000 0.0000 0.3332
```


# Tb4ZnCdCu2

A relaxed Tb4ZnCdCu2 crystal (GGA-PBE, Alexandria). Values from VASP.

Summary:
Its symmetry is R-3m (166). For the formation energy from the elements, the calculation gives -195 kJ/mol of formula units.

Cell and atoms, written as Quantum ESPRESSO input:
```
&SYSTEM
  ibrav = 0, nat = 8, ntyp = 4
/
ATOMIC_SPECIES
Tb 158.93 Tb.upf
Cu 63.55 Cu.upf
Cd 112.41 Cd.upf
Zn 65.41 Zn.upf
CELL_PARAMETERS angstrom
-1.0054 2.9683 3.9782
-2.3063 -1.9251 4.0771
6.2746 -1.5476 5.9640
ATOMIC_POSITIONS crystal
Tb 0.6211 0.6211 0.1366
Tb 0.1285 0.1285 0.6145
Tb 0.8715 0.8715 0.3855
Tb 0.3789 0.3789 0.8634
Cu 0.2518 0.2518 0.2446
Cu 0.7482 0.7482 0.7554
Cd 0.0000 0.0000 0.0000
Zn 0.5000 0.5000 0.5000
```


# Ca2AgBi2

A relaxed Ca2AgBi2 crystal (GGA-PBE, Alexandria). Values from VASP.

Summary:
Its energy relative to the lowest polymorph listed for this composition is 253 meV/atom. Its symmetry is P4/mbm (127). For the formation energy from the elements, the calculation gives -158 kJ/mol of formula units.

Cell and atoms, written as Quantum ESPRESSO input:
```
&SYSTEM
  ibrav = 0, nat = 10, ntyp = 3
/
ATOMIC_SPECIES
Ca 40.08 Ca.upf
Ag 107.87 Ag.upf
Bi 208.98 Bi.upf
CELL_PARAMETERS angstrom
-7.7994 -3.3346 3.8334
-0.9373 -5.9582 -7.0899
1.9192 -2.4315 1.7896
ATOMIC_POSITIONS crystal
Ca 0.1355 0.3645 0.0000
Ca 0.3645 0.8645 0.0000
Ca 0.8645 0.6355 0.0000
Ca 0.6355 0.1355 0.0000
Ag 0.5000 0.5000 0.0000
Ag 0.0000 0.0000 0.0000
Bi 0.6671 0.8329 0.5000
Bi 0.3329 0.1671 0.5000
Bi 0.1671 0.6671 0.5000
Bi 0.8329 0.3329 0.5000
```


# Sm2Br3O

A relaxed Sm2Br3O crystal (GGA-PBE, Alexandria). Values from VASP.

Summary:
As for the formation energy without anion corrections: -2294 meV per atom. Its symmetry is C2/m (12).

Cell and atoms, written as Quantum ESPRESSO input:
```
&SYSTEM
  ibrav = 0, nat = 12, ntyp = 3
/
ATOMIC_SPECIES
Sm 150.36 Sm.upf
Br 79.90 Br.upf
O 16.00 O.upf
CELL_PARAMETERS angstrom
-3.3218 1.6452 -1.6339
-0.3619 -4.1546 -8.4696
-6.5753 -7.6565 0.6366
ATOMIC_POSITIONS crystal
Sm 0.1330 0.5141 0.2199
Sm 0.8670 0.4859 0.7801
Sm 0.4276 0.6866 0.4581
Sm 0.5724 0.3134 0.5419
Br 0.9650 0.8306 0.2394
Br 0.6692 0.6708 0.9908
Br 0.3308 0.3292 0.0092
Br 0.7836 0.8139 0.6188
Br 0.0350 0.1694 0.7606
Br 0.2164 0.1861 0.3812
O 0.5806 0.5053 0.3334
O 0.4194 0.4947 0.6666
```


# Tl2ZnCuF6

A relaxed Tl2ZnCuF6 crystal (GGA-PBE, Alexandria). Values from VASP.

Summary:
As for the formation energy without anion corrections: -1881 meV per atom. Its symmetry is I4/mmm (139).

Cell and atoms, written as Quantum ESPRESSO input:
```
&SYSTEM
  ibrav = 0, nat = 10, ntyp = 4
/
ATOMIC_SPECIES
F 19.00 F.upf
Cu 63.55 Cu.upf
Tl 204.38 Tl.upf
Zn 65.41 Zn.upf
CELL_PARAMETERS angstrom
5.7774 0.0002 -0.0002
0.0001 5.7774 -0.0002
2.8892 2.8893 4.6196
ATOMIC_POSITIONS crystal
F 0.2121 0.2121 0.5760
F 0.7879 0.7879 0.4240
F 0.2636 0.2636 0.0000
F 0.2636 0.7364 0.0000
F 0.7364 0.2636 0.0000
F 0.7364 0.7364 0.0000
Cu 0.5000 0.5000 0.0000
Tl 0.7500 0.2500 0.5000
Tl 0.2500 0.7500 0.5000
Zn 0.0000 0.0000 0.0000
```


# Na2LiGeCl5

A relaxed Na2LiGeCl5 crystal (GGA-PBE, Alexandria). Values from VASP.

Summary:
As for the formation energy without anion corrections: -1394 meV per atom. Its symmetry is Cmc2_1 (36).

Cell and atoms, written as Quantum ESPRESSO input:
```
&SYSTEM
  ibrav = 0, nat = 18, ntyp = 4
/
ATOMIC_SPECIES
Li 6.94 Li.upf
Ge 72.64 Ge.upf
Na 22.99 Na.upf
Cl 35.45 Cl.upf
CELL_PARAMETERS angstrom
3.9978 0.0000 0.0000
-1.9989 8.5637 0.0000
0.0000 0.0000 13.1879
ATOMIC_POSITIONS crystal
Li 0.2229 0.4457 0.0513
Li 0.7771 0.5543 0.5513
Ge 0.4509 0.9018 0.4379
Ge 0.5491 0.0982 0.9379
Na 0.1059 0.2117 0.6309
Na 0.8264 0.6528 0.8126
Na 0.8941 0.7883 0.1309
Na 0.1736 0.3472 0.3126
Cl 0.0659 0.1319 0.0662
Cl 0.3125 0.6251 0.4218
Cl 0.9341 0.8681 0.5662
Cl 0.7346 0.4692 0.1797
Cl 0.3605 0.7210 0.9750
Cl 0.6875 0.3749 0.9218
Cl 0.5336 0.0673 0.7486
Cl 0.2654 0.5308 0.6797
Cl 0.6395 0.2790 0.4750
Cl 0.4664 0.9327 0.2486
```


# PrSb3Pd

A relaxed PrSb3Pd crystal (GGA-PBE, Alexandria). Values from VASP.

Summary:
As for the formation energy without anion corrections: -668 meV per atom. Its symmetry is Pbcm (57).

Cell and atoms, written as Quantum ESPRESSO input:
```
&SYSTEM
  ibrav = 0, nat = 20, ntyp = 3
/
ATOMIC_SPECIES
Sb 121.76 Sb.upf
Pr 140.91 Pr.upf
Pd 106.42 Pd.upf
CELL_PARAMETERS angstrom
-0.7772 5.4328 -2.9757
-5.5694 0.7669 2.8548
5.9070 6.2390 9.8480
ATOMIC_POSITIONS crystal
Sb 0.7500 0.0109 0.7723
Sb 0.7500 0.5109 0.2277
Sb 0.7500 0.3832 0.9399
Sb 0.7500 0.8832 0.0601
Sb 0.2500 0.1168 0.9399
Sb 0.5000 0.2500 0.4979
Sb 0.5000 0.7500 0.5021
Sb 0.0000 0.7500 0.5021
Sb 0.2500 0.9891 0.2277
Sb 0.2500 0.4891 0.7723
Sb 0.0000 0.2500 0.4979
Sb 0.2500 0.6168 0.0601
Pr 0.7500 0.0022 0.3086
Pr 0.2500 0.9978 0.6914
Pr 0.2500 0.4978 0.3086
Pr 0.7500 0.5022 0.6914
Pd 0.0000 0.2500 0.0989
Pd 0.0000 0.7500 0.9011
Pd 0.5000 0.7500 0.9011
Pd 0.5000 0.2500 0.0989
```


# Li7Cd2In2

A relaxed Li7Cd2In2 crystal (GGA-PBE, Alexandria). Values from VASP.

Summary:
Its symmetry is C2/m (12). For the formation energy from the elements, the calculation gives -203 kJ/mol of formula units.

Cell and atoms, written as Quantum ESPRESSO input:
```
&SYSTEM
  ibrav = 0, nat = 11, ntyp = 3
/
ATOMIC_SPECIES
Li 6.94 Li.upf
In 114.82 In.upf
Cd 112.41 Cd.upf
CELL_PARAMETERS angstrom
-2.5168 -4.1899 0.5185
0.8232 0.7061 -6.7177
6.5308 -1.8182 0.5890
ATOMIC_POSITIONS crystal
Li 0.5000 0.0000 0.0000
Li 0.6719 0.9491 0.4055
Li 0.3281 0.0509 0.5945
Li 0.2939 0.5834 0.5834
Li 0.6719 0.4055 0.9491
Li 0.3281 0.5945 0.0509
Li 0.7061 0.4166 0.4166
In 0.8906 0.7739 0.7739
In 0.1094 0.2261 0.2261
Cd 0.0000 0.7710 0.2290
Cd 0.0000 0.2290 0.7710
```


# CaYGaPd

A relaxed CaYGaPd crystal (GGA-PBE, Alexandria). Values from VASP.

Summary:
Its energy relative to the lowest polymorph listed for this composition is 23 meV/atom. Its symmetry is F-43m (216). For the formation energy from the elements, the calculation gives -240 kJ/mol of formula units.

Cell and atoms, written as Quantum ESPRESSO input:
```
&SYSTEM
  ibrav = 0, nat = 4, ntyp = 4
/
ATOMIC_SPECIES
Ga 69.72 Ga.upf
Pd 106.42 Pd.upf
Y 88.91 Y.upf
Ca 40.08 Ca.upf
CELL_PARAMETERS angstrom
5.0471 0.0000 0.0000
2.5236 4.3709 0.0000
2.5236 1.4570 4.1210
ATOMIC_POSITIONS crystal
Ga 0.0000 0.0000 0.0000
Pd 0.5000 0.5000 0.5000
Y 0.7500 0.7500 0.7500
Ca 0.2500 0.2500 0.2500
```


Calculated magnetization (μB per formula unit), listed in the same order as above: 0.000; 4.263; 0.000; 0.000; 0.000; 0.000; 0.000; 0.939; 0.000; 0.000; 0.000; 0.000